Below is EuPaPd2 after structural relaxation, with properties calculated at the PBE-GGA level.

Total magnetization: 1.868 μB per atom
Total DFT energy (no corrections): -7.953 eV per atom
DFT formation energy: -0.414 eV per atom

CIF file:
```
data_EuPaPd2
_chemical_formula_sum 'Eu3 Pa3 Pd6'
_symmetry_space_group_name_H-M 'R -3 m'
_symmetry_Int_Tables_number 166
_symmetry_space_group_name_Hall '-R 3 2"'
_cell_length_a 4.8023
_cell_length_b 4.8023
_cell_length_c 14.2223
_cell_angle_alpha 90.00
_cell_angle_beta 90.00
_cell_angle_gamma 120.00
loop_
_atom_site_label
_atom_site_type_symbol
_atom_site_fract_x
_atom_site_fract_y
_atom_site_fract_z
Eu1 Eu 0.0000 0.0000 0.0000
Pa1 Pa 0.0000 0.0000 0.5000
Pd1 Pd 0.0000 0.0000 0.2217
```

Below is EuPaPdPt after structural relaxation, with properties calculated at the PBE-GGA level.

Total magnetization: 1.932 μB per atom
Total DFT energy (no corrections): -8.358 eV per atom
DFT formation energy: -0.607 eV per atom

CIF file:
```
data_EuPaPdPt
_chemical_formula_sum 'Eu4 Pa4 Pd4 Pt4'
_symmetry_space_group_name_H-M 'F -4 3 m'
_symmetry_Int_Tables_number 216
_symmetry_space_group_name_Hall 'F -4 2 3'
_cell_length_a 7.092
_cell_length_b 7.092
_cell_length_c 7.092
_cell_angle_alpha 90.00
_cell_angle_beta 90.00
_cell_angle_gamma 90.00
loop_
_atom_site_label
_atom_site_type_symbol
_atom_site_fract_x
_atom_site_fract_y
_atom_site_fract_z
Eu1 Eu 0.000 0.000 0.000
Pa1 Pa 0.000 0.000 0.500
Pd1 Pd 0.250 0.250 0.250
Pt1 Pt 0.250 0.250 0.750
```

Below is EuPaPdRh after structural relaxation, with properties calculated at the PBE-GGA level.

Total magnetization: 1.960 μB per atom
Total DFT energy (no corrections): -8.517 eV per atom
DFT formation energy: -0.439 eV per atom

CIF file:
```
data_EuPaPdRh
_chemical_formula_sum 'Eu4 Pa4 Pd4 Rh4'
_symmetry_space_group_name_H-M 'F -4 3 m'
_symmetry_Int_Tables_number 216
_symmetry_space_group_name_Hall 'F -4 2 3'
_cell_length_a 7.021
_cell_length_b 7.021
_cell_length_c 7.021
_cell_angle_alpha 90.00
_cell_angle_beta 90.00
_cell_angle_gamma 90.00
loop_
_atom_site_label
_atom_site_type_symbol
_atom_site_fract_x
_atom_site_fract_y
_atom_site_fract_z
Eu1 Eu 0.000 0.000 0.000
Pa1 Pa 0.000 0.000 0.500
Pd1 Pd 0.250 0.250 0.250
Rh1 Rh 0.250 0.250 0.750
```

Below is EuPaPt2 after structural relaxation, with properties calculated at the PBE-GGA level.

Total magnetization: 1.906 μB per atom
Total DFT energy (no corrections): -8.748 eV per atom
DFT formation energy: -0.785 eV per atom

CIF file:
```
data_EuPaPt2
_chemical_formula_sum 'Eu4 Pa4 Pt8'
_symmetry_space_group_name_H-M 'F m -3 m'
_symmetry_Int_Tables_number 225
_symmetry_space_group_name_Hall '-F 4 2 3'
_cell_length_a 7.085
_cell_length_b 7.085
_cell_length_c 7.085
_cell_angle_alpha 90.00
_cell_angle_beta 90.00
_cell_angle_gamma 90.00
loop_
_atom_site_label
_atom_site_type_symbol
_atom_site_fract_x
_atom_site_fract_y
_atom_site_fract_z
Eu1 Eu 0.000 0.000 0.000
Pa1 Pa 0.000 0.000 0.500
Pt1 Pt 0.250 0.250 0.250
```

Below is EuPaPt2 after structural relaxation, with properties calculated at the PBE-GGA level.

Total magnetization: 1.843 μB per atom
Total DFT energy (no corrections): -8.878 eV per atom
DFT formation energy: -0.915 eV per atom

CIF file:
```
data_EuPaPt2
_chemical_formula_sum 'Eu1 Pa1 Pt2'
_symmetry_space_group_name_H-M 'P 4/m m m'
_symmetry_Int_Tables_number 123
_symmetry_space_group_name_Hall '-P 4 2'
_cell_length_a 3.572
_cell_length_b 3.572
_cell_length_c 7.333
_cell_angle_alpha 90.00
_cell_angle_beta 90.00
_cell_angle_gamma 90.00
loop_
_atom_site_label
_atom_site_type_symbol
_atom_site_fract_x
_atom_site_fract_y
_atom_site_fract_z
Eu1 Eu 0.000 0.000 0.000
Pa1 Pa 0.000 0.000 0.500
Pt1 Pt 0.500 0.500 0.294
```

Below is EuPaPt2 after structural relaxation, with properties calculated at the PBE-GGA level.

Total magnetization: 1.781 μB per atom
Total DFT energy (no corrections): -8.929 eV per atom
DFT formation energy: -0.966 eV per atom

CIF file:
```
data_EuPaPt2
_chemical_formula_sum 'Eu3 Pa3 Pt6'
_symmetry_space_group_name_H-M 'R -3 m'
_symmetry_Int_Tables_number 166
_symmetry_space_group_name_Hall '-R 3 2"'
_cell_length_a 4.0475
_cell_length_b 4.0475
_cell_length_c 21.3991
_cell_angle_alpha 90.00
_cell_angle_beta 90.00
_cell_angle_gamma 120.00
loop_
_atom_site_label
_atom_site_type_symbol
_atom_site_fract_x
_atom_site_fract_y
_atom_site_fract_z
Eu1 Eu 0.0000 0.0000 0.0000
Pa1 Pa 0.0000 0.0000 0.5000
Pt1 Pt 0.0000 0.0000 0.2401
```

Below is EuPaPt after structural relaxation, with properties calculated at the PBE-GGA level.

Total magnetization: 2.288 μB per atom
Total DFT energy (no corrections): -8.840 eV per atom
DFT formation energy: -0.236 eV per atom

CIF file:
```
data_EuPaPt
_chemical_formula_sum 'Eu1 Pa1 Pt1'
_symmetry_space_group_name_H-M 'P 3 m 1'
_symmetry_Int_Tables_number 156
_symmetry_space_group_name_Hall 'P 3 -2"'
_cell_length_a 4.7019
_cell_length_b 4.7019
_cell_length_c 3.7825
_cell_angle_alpha 90.00
_cell_angle_beta 90.00
_cell_angle_gamma 120.00
loop_
_atom_site_label
_atom_site_type_symbol
_atom_site_fract_x
_atom_site_fract_y
_atom_site_fract_z
Eu1 Eu 0.0000 0.0000 0.0000
Pa1 Pa 0.3333 0.6667 0.3712
Pt1 Pt 0.6667 0.3333 0.6089
```

Below is Eu2PaPt after structural relaxation, with properties calculated at the PBE-GGA level.

Total magnetization: 3.590 μB per atom
Total DFT energy (no corrections): -8.926 eV per atom
DFT formation energy: 0.096 eV per atom

CIF file:
```
data_Eu2PaPt
_chemical_formula_sum 'Eu6 Pa3 Pt3'
_symmetry_space_group_name_H-M 'R -3 m'
_symmetry_Int_Tables_number 166
_symmetry_space_group_name_Hall '-R 3 2"'
_cell_length_a 3.4591
_cell_length_b 3.4591
_cell_length_c 32.5397
_cell_angle_alpha 90.00
_cell_angle_beta 90.00
_cell_angle_gamma 120.00
loop_
_atom_site_label
_atom_site_type_symbol
_atom_site_fract_x
_atom_site_fract_y
_atom_site_fract_z
Eu1 Eu 0.0000 0.0000 0.1022
Pa1 Pa 0.0000 0.0000 0.0000
Pt1 Pt 0.0000 0.0000 0.5000
```

Below is EuPu2Pa after structural relaxation, with properties calculated at the PBE-GGA level.

Total magnetization: 4.729 μB per atom
Total DFT energy (no corrections): -11.942 eV per atom
DFT formation energy: 0.167 eV per atom

CIF file:
```
data_EuPu2Pa
_chemical_formula_sum 'Eu1 Pu2 Pa1'
_symmetry_space_group_name_H-M 'P 4/m m m'
_symmetry_Int_Tables_number 123
_symmetry_space_group_name_Hall '-P 4 2'
_cell_length_a 3.392
_cell_length_b 3.392
_cell_length_c 9.727
_cell_angle_alpha 90.00
_cell_angle_beta 90.00
_cell_angle_gamma 90.00
loop_
_atom_site_label
_atom_site_type_symbol
_atom_site_fract_x
_atom_site_fract_y
_atom_site_fract_z
Eu1 Eu 0.000 0.000 0.000
Pu1 Pu 0.500 0.500 0.289
Pa1 Pa 0.000 0.000 0.500
```

Below is EuPaRe4 after structural relaxation, with properties calculated at the PBE-GGA level.

Total magnetization: 0.895 μB per atom
Total DFT energy (no corrections): -11.505 eV per atom
DFT formation energy: 0.089 eV per atom

CIF file:
```
data_EuPaRe4
_chemical_formula_sum 'Eu4 Pa4 Re16'
_symmetry_space_group_name_H-M 'F -4 3 m'
_symmetry_Int_Tables_number 216
_symmetry_space_group_name_Hall 'F -4 2 3'
_cell_length_a 7.706
_cell_length_b 7.706
_cell_length_c 7.706
_cell_angle_alpha 90.00
_cell_angle_beta 90.00
_cell_angle_gamma 90.00
loop_
_atom_site_label
_atom_site_type_symbol
_atom_site_fract_x
_atom_site_fract_y
_atom_site_fract_z
Eu1 Eu 0.000 0.000 0.000
Pa1 Pa 0.250 0.250 0.250
Re1 Re 0.125 0.125 0.625
```

Below is EuPaRh after structural relaxation, with properties calculated at the PBE-GGA level.

Total magnetization: 2.462 μB per atom
Total DFT energy (no corrections): -9.358 eV per atom
DFT formation energy: -0.317 eV per atom

CIF file:
```
data_EuPaRh
_chemical_formula_sum 'Eu2 Pa2 Rh2'
_symmetry_space_group_name_H-M 'I 4 m m'
_symmetry_Int_Tables_number 107
_symmetry_space_group_name_Hall 'I 4 -2'
_cell_length_a 3.573
_cell_length_b 3.573
_cell_length_c 11.443
_cell_angle_alpha 90.00
_cell_angle_beta 90.00
_cell_angle_gamma 90.00
loop_
_atom_site_label
_atom_site_type_symbol
_atom_site_fract_x
_atom_site_fract_y
_atom_site_fract_z
Eu1 Eu 0.000 0.000 0.000
Pa1 Pa 0.000 0.000 0.297
Rh1 Rh 0.000 0.000 0.694
```

Below is EuPaRh2 after structural relaxation, with properties calculated at the PBE-GGA level.

Total magnetization: 1.794 μB per atom
Total DFT energy (no corrections): -9.108 eV per atom
DFT formation energy: -0.490 eV per atom

CIF file:
```
data_EuPaRh2
_chemical_formula_sum 'Eu4 Pa4 Rh8'
_symmetry_space_group_name_H-M 'F m -3 m'
_symmetry_Int_Tables_number 225
_symmetry_space_group_name_Hall '-F 4 2 3'
_cell_length_a 6.936
_cell_length_b 6.936
_cell_length_c 6.936
_cell_angle_alpha 90.00
_cell_angle_beta 90.00
_cell_angle_gamma 90.00
loop_
_atom_site_label
_atom_site_type_symbol
_atom_site_fract_x
_atom_site_fract_y
_atom_site_fract_z
Eu1 Eu 0.000 0.000 0.000
Pa1 Pa 0.000 0.000 0.500
Rh1 Rh 0.250 0.250 0.250
```